Entry 1:
# AcPr4Tl2

AcPr4Tl2 after structural relaxation (PBE, Alexandria).

Geometry as POSCAR:
```
AcPr4Tl2
1.0
6.9877 0.0000 0.0000
0.0000 11.5479 0.0000
-0.8237 0.0000 6.2338
Ac Pr Tl
2 8 4
Direct
0.0000 0.0000 0.0000
0.5000 0.5000 0.0000
0.0000 0.2409 0.5000
0.0000 0.7591 0.5000
0.2500 0.2500 0.0000
0.2500 0.7500 0.0000
0.5000 0.2591 0.5000
0.5000 0.7409 0.5000
0.7500 0.2500 0.0000
0.7500 0.7500 0.0000
0.0759 0.5000 0.2619
0.4241 0.0000 0.7381
0.5759 0.0000 0.2619
0.9241 0.5000 0.7381
```

M_tot in μB/f.u.: 0.0
Volume in Å³/cell: 503.03
Energy relative to the lowest polymorph listed for this composition in eV per atom: 0.203
Energy of formation from the pure elements in eV per atom: 0.07



Entry 2:
# Ca8AgN4

Ca8AgN4 after structural relaxation (PBE, Alexandria).

Geometry as POSCAR:
```
Ca8AgN4
1.0
0.0000 5.3464 5.3464
5.3464 0.0000 5.3464
5.3464 5.3464 0.0000
Ca Ag N
8 1 4
Direct
0.3974 0.3974 0.3974
0.3974 0.3974 0.8077
0.3974 0.8077 0.3974
0.4251 0.8583 0.8583
0.8077 0.3974 0.3974
0.8583 0.4251 0.8583
0.8583 0.8583 0.4251
0.8583 0.8583 0.8583
0.2500 0.2500 0.2500
0.1230 0.6257 0.6257
0.6257 0.1230 0.6257
0.6257 0.6257 0.1230
0.6257 0.6257 0.6257
```

M_tot in μB/f.u.: 1.1
Volume in Å³/cell: 305.65
Energy relative to the lowest polymorph listed for this composition in eV per atom: 0.066
Uncorrected formation energy in kJ per mole of atoms: -57



Entry 3:
# NaCo

NaCo after structural relaxation (PBE, Alexandria).

Geometry as POSCAR:
```
NaCo
1.0
5.1953 0.0000 0.0000
0.0000 15.5731 0.0000
0.0000 0.0000 2.7135
Na Co
6 6
Direct
0.0000 0.0000 0.0000
0.0000 0.1919 0.5000
0.0000 0.8081 0.5000
0.5000 0.3081 0.5000
0.5000 0.5000 0.0000
0.5000 0.6919 0.5000
0.0000 0.3808 0.0000
0.0000 0.5000 0.5000
0.0000 0.6192 0.0000
0.5000 0.0000 0.5000
0.5000 0.1192 0.0000
0.5000 0.8808 0.0000
```

M_tot in μB/f.u.: 1.6
Volume in Å³/cell: 219.54
Energy of formation from the pure elements in eV per atom: 0.57



Entry 4:
# SrErMg17

SrErMg17 after structural relaxation (PBE, Alexandria).

Geometry as POSCAR:
```
SrErMg17
1.0
5.1751 2.9878 5.1042
-5.1751 2.9878 5.1042
0.0000 -5.9757 5.1042
Sr Er Mg
1 1 17
Direct
0.0000 0.0000 0.0000
0.6640 0.6640 0.6640
0.0316 0.3401 0.6361
0.0316 0.6361 0.3401
0.1897 0.6822 0.6822
0.2396 0.2396 0.2396
0.3329 0.3329 0.8393
0.3329 0.8393 0.3329
0.3401 0.0316 0.6361
0.3401 0.6361 0.0316
0.4376 0.4376 0.4376
0.5064 0.9796 0.9796
0.6361 0.0316 0.3401
0.6361 0.3401 0.0316
0.6822 0.1897 0.6822
0.6822 0.6822 0.1897
0.8393 0.3329 0.3329
0.9796 0.5064 0.9796
0.9796 0.9796 0.5064
```

M_tot in μB/f.u.: 0.0
Volume in Å³/cell: 473.54
Energy of formation from the pure elements in eV per atom: -0.02



Entry 5:
# Sr2Sb2Te

Sr2Sb2Te after structural relaxation (PBE, Alexandria).

Geometry as POSCAR:
```
Sr2Sb2Te
1.0
4.3534 0.0000 0.0000
0.0000 4.3534 0.0000
0.0000 0.0000 18.0370
Sr Sb Te
4 4 2
Direct
0.0000 0.0000 0.1032
0.0000 0.0000 0.8968
0.5000 0.5000 0.3968
0.5000 0.5000 0.6032
0.0000 0.5000 0.2500
0.0000 0.5000 0.7500
0.5000 0.0000 0.2500
0.5000 0.0000 0.7500
0.0000 0.0000 0.5000
0.5000 0.5000 0.0000
```

M_tot in μB/f.u.: 0.0
Volume in Å³/cell: 341.84
Energy relative to the lowest polymorph listed for this composition in eV per atom: 0.000
Uncorrected formation energy in kJ per mole of atoms: -98



Entry 6:
# BaZn3Au

BaZn3Au after structural relaxation (PBE, Alexandria).

Geometry as POSCAR:
```
BaZn3Au
1.0
6.4429 0.0000 0.0000
0.0000 6.4429 0.0000
0.0000 0.0000 6.4429
Ba Zn Au
1 3 1
Direct
0.0000 0.0000 0.0000
0.0000 0.0000 0.5000
0.0000 0.5000 0.0000
0.5000 0.0000 0.0000
0.5000 0.5000 0.5000
```

M_tot in μB/f.u.: 0.0
Volume in Å³/cell: 267.45
Energy relative to the lowest polymorph listed for this composition in eV per atom: 1.263
Energy of formation from the pure elements in eV per atom: 0.92



Entry 7:
# Cs2BeSnBr6

Cs2BeSnBr6 after structural relaxation (PBE, Alexandria).

Geometry as POSCAR:
```
Cs2BeSnBr6
1.0
-3.8726 3.8726 5.5169
3.8726 -3.8726 5.5169
3.8726 3.8726 -5.5169
Cs Be Sn Br
2 1 1 6
Direct
0.2500 0.7500 0.5000
0.7500 0.2500 0.5000
0.0000 0.0000 0.0000
0.5000 0.5000 0.0000
0.2281 0.2281 0.4562
0.2281 0.7719 0.0000
0.2310 0.2310 0.0000
0.7690 0.7690 0.0000
0.7719 0.2281 0.0000
0.7719 0.7719 0.5438
```

M_tot in μB/f.u.: 0.0
Volume in Å³/cell: 330.95
Uncorrected formation energy in kJ per mole of atoms: -110



Entry 8:
# ScTe2Ir

ScTe2Ir after structural relaxation (PBE, Alexandria).

Geometry as POSCAR:
```
ScTe2Ir
1.0
3.8485 0.0000 0.0000
0.0000 4.3106 0.0000
0.0000 0.0000 14.1335
Sc Te Ir
2 4 2
Direct
0.0000 0.0000 0.0000
0.5000 0.5000 0.5000
0.0000 0.5000 0.1360
0.0000 0.5000 0.8640
0.5000 0.0000 0.3640
0.5000 0.0000 0.6360
0.0000 0.0000 0.5000
0.5000 0.5000 0.0000
```

M_tot in μB/f.u.: 0.0
Volume in Å³/cell: 234.47
Energy relative to the lowest polymorph listed for this composition in eV per atom: 0.000
Uncorrected formation energy in kJ per mole of atoms: -66